No. 1
## Rb2TePdBr6 (PBE)

Data for a relaxed structure of Rb2TePdBr6.

Output
For the raw formation energy, the calculation gives -0.871 eV/atom. The value obtained for the calculated total energy is -29.01 eV for the cell shown. As for the density: 4.35 g/cm³.

Unit cell a=7.805 b=7.805 c=7.822 alpha=60.07 beta=60.07 gamma=90.00
Fractional positions:
1 Te 0.000 0.000 0.000
2 Rb 0.750 0.250 0.500
3 Rb 0.250 0.750 0.500
4 Pd 0.500 0.500 0.000
5 Br 0.259 0.259 0.483
6 Br 0.741 0.741 0.517
7 Br 0.259 0.259 0.000
8 Br 0.741 0.741 0.000
9 Br 0.741 0.259 0.000
10 Br 0.259 0.741 0.000


No. 2
## Rb2TiPdBr6 (PBE)

Data for a relaxed structure of Rb2TiPdBr6.

Output
For the raw formation energy, the calculation gives -1.156 eV/atom. The value obtained for the calculated total energy is -36.62 eV for the cell shown. As for the density: 4.31 g/cm³.

Unit cell a=7.503 b=7.503 c=7.649 alpha=60.63 beta=60.63 gamma=90.00
Fractional positions:
1 Br 0.266 0.266 0.468
2 Br 0.734 0.734 0.532
3 Br 0.257 0.257 0.000
4 Br 0.743 0.743 0.000
5 Br 0.743 0.257 0.000
6 Br 0.257 0.743 0.000
7 Rb 0.750 0.250 0.500
8 Rb 0.250 0.750 0.500
9 Pd 0.000 0.000 0.000
10 Ti 0.500 0.500 0.000


No. 3
## RbTiPdBr6 (PBE)

Data for a relaxed structure of RbTiPdBr6.

Output
For the raw formation energy, the calculation gives -1.006 eV/atom. The value obtained for the calculated total energy is -33.15 eV for the cell shown. As for the density: 3.79 g/cm³.

Unit cell a=6.807 b=7.735 c=7.381 alpha=100.20 beta=95.78 gamma=55.39
Fractional positions:
1 Rb 0.171 0.914 0.000
2 Ti 0.348 0.326 0.500
3 Pd 0.642 0.679 0.500
4 Br 0.981 0.385 0.287
5 Br 0.325 0.055 0.645
6 Br 0.614 0.335 0.744
7 Br 0.981 0.634 0.712
8 Br 0.325 0.620 0.355
9 Br 0.614 0.051 0.256


No. 4
## Rb2TlPdBr6 (PBE)

Data for a relaxed structure of Rb2TlPdBr6.

Output
For the raw formation energy, the calculation gives -0.975 eV/atom. The value obtained for the calculated total energy is -58.56 eV for the cell shown. As for the density: 4.58 g/cm³.

Unit cell a=7.892 b=7.901 c=11.188 alpha=90.00 beta=90.00 gamma=90.00
Fractional positions:
1 Rb 0.500 0.751 0.249
2 Rb 0.000 0.249 0.749
3 Rb 0.500 0.751 0.751
4 Rb 0.000 0.249 0.251
5 Tl 0.000 0.748 0.500
6 Tl 0.500 0.252 0.000
7 Pd 0.500 0.248 0.500
8 Pd 0.000 0.752 0.000
9 Br 0.500 0.248 0.268
10 Br 0.500 0.248 0.732
11 Br 0.000 0.752 0.232
12 Br 0.000 0.752 0.768
13 Br 0.267 0.016 0.500
14 Br 0.733 0.016 0.500
15 Br 0.267 0.481 0.500
16 Br 0.733 0.481 0.500
17 Br 0.767 0.519 0.000
18 Br 0.233 0.519 0.000
19 Br 0.233 0.984 0.000
20 Br 0.767 0.984 0.000


No. 5
## Rb2Tl2PdBr4 (PBE)

Data for a relaxed structure of Rb2Tl2PdBr4.

Output
For the raw formation energy, the calculation gives -0.978 eV/atom. The value obtained for the calculated total energy is -27.36 eV for the cell shown. As for the density: 5.66 g/cm³.

Unit cell a=7.270 b=7.270 c=7.270 alpha=106.06 beta=111.20 gamma=111.20
Fractional positions:
1 Rb 0.500 0.750 0.250
2 Rb 0.500 0.250 0.750
3 Tl 0.000 0.686 0.686
4 Tl 0.000 0.314 0.314
5 Pd 0.000 0.000 0.000
6 Br 0.000 0.756 0.244
7 Br 0.512 0.756 0.756
8 Br 0.000 0.244 0.756
9 Br 0.488 0.244 0.244


No. 6
## RbTlPdBr6 (PBE)

Data for a relaxed structure of RbTlPdBr6.

Output
For the raw formation energy, the calculation gives -0.660 eV/atom. The value obtained for the calculated total energy is -24.50 eV for the cell shown. As for the density: 4.29 g/cm³.

Unit cell a=7.111 b=7.111 c=7.739 alpha=90.00 beta=90.00 gamma=60.00
Fractional positions:
1 Rb 0.000 0.000 0.000
2 Tl 0.333 0.333 0.500
3 Pd 0.667 0.667 0.500
4 Br 0.985 0.377 0.298
5 Br 0.377 0.985 0.702
6 Br 0.638 0.377 0.702
7 Br 0.985 0.638 0.702
8 Br 0.377 0.638 0.298
9 Br 0.638 0.985 0.298


No. 7
## Rb3TlPd2Br9 (PBE)

Data for a relaxed structure of Rb3TlPd2Br9.

Output
For the raw formation energy, the calculation gives -0.945 eV/atom. The value obtained for the calculated total energy is -44.88 eV for the cell shown. As for the density: 4.73 g/cm³.

Unit cell a=7.709 b=7.709 c=9.504 alpha=90.00 beta=90.00 gamma=120.00
Fractional positions:
1 Rb 0.333 0.667 0.676
2 Rb 0.000 0.000 0.000
3 Rb 0.667 0.333 0.324
4 Tl 0.000 0.000 0.500
5 Pd 0.333 0.667 0.153
6 Pd 0.667 0.333 0.847
7 Br 0.824 0.176 0.686
8 Br 0.824 0.649 0.686
9 Br 0.351 0.176 0.686
10 Br 0.649 0.824 0.314
11 Br 0.176 0.351 0.314
12 Br 0.176 0.824 0.314
13 Br 0.500 0.000 0.000
14 Br 0.000 0.500 0.000
15 Br 0.500 0.500 0.000


No. 8
## Rb2PdWBr (PBE)

Data for a relaxed structure of Rb2PdWBr.

Output
For the raw formation energy, the calculation gives 0.567 eV/atom. The value obtained for the calculated total energy is -18.92 eV for the cell shown. As for the density: 4.23 g/cm³.

Unit cell a=6.597 b=4.885 c=6.597 alpha=90.00 beta=90.00 gamma=90.00
Fractional positions:
1 Rb 0.000 0.000 0.500
2 Rb 0.500 0.000 0.000
3 Br 0.500 0.500 0.500
4 Pd 0.000 0.000 0.000
5 W 0.000 0.500 0.000


No. 9
## RbZr2PdBr (PBE)

Data for a relaxed structure of RbZr2PdBr.

Output
For the raw formation energy, the calculation gives 1.920 eV/atom. The value obtained for the calculated total energy is -15.33 eV for the cell shown. As for the density: 5.25 g/cm³.

Unit cell a=5.377 b=4.974 c=5.377 alpha=90.00 beta=90.00 gamma=90.00
Fractional positions:
1 Rb 0.000 0.000 0.000
2 Br 0.500 0.500 0.500
3 Zr 0.000 0.000 0.500
4 Zr 0.500 0.000 0.000
5 Pd 0.000 0.500 0.000


No. 10
## Rb2ZrPdBr6 (PBE)

Data for a relaxed structure of Rb2ZrPdBr6.

Output
For the raw formation energy, the calculation gives -1.237 eV/atom. The value obtained for the calculated total energy is -38.09 eV for the cell shown. As for the density: 4.24 g/cm³.

Unit cell a=7.774 b=7.774 c=7.773 alpha=60.00 beta=60.00 gamma=90.00
Fractional positions:
1 Rb 0.750 0.250 0.500
2 Rb 0.250 0.750 0.500
3 Br 0.257 0.257 0.487
4 Br 0.743 0.743 0.513
5 Br 0.257 0.257 0.000
6 Br 0.743 0.743 0.000
7 Br 0.743 0.257 0.000
8 Br 0.257 0.743 0.000
9 Zr 0.500 0.500 0.000
10 Pd 0.000 0.000 0.000


No. 11
## RePd2Br (PBE)

Data for a relaxed structure of RePd2Br.

Output
Its energy above the most stable polymorph in this dataset is 21.4 meV/atom. For the raw formation energy, the calculation gives 1.038 eV/atom. The value obtained for the calculated total energy is -20.35 eV for the cell shown. As for the density: 11.54 g/cm³.

Unit cell a=4.602 b=4.602 c=4.602 alpha=60.00 beta=60.00 gamma=60.00
Fractional positions:
1 Re 0.500 0.500 0.500
2 Br 0.000 0.000 0.000
3 Pd 0.250 0.250 0.250
4 Pd 0.750 0.750 0.750


No. 12
## Re3PdBr (PBE)

Data for a relaxed structure of Re3PdBr.

Output
Its energy above the most stable polymorph in this dataset is 0.0 meV/atom. For the raw formation energy, the calculation gives 2.260 eV/atom. The value obtained for the calculated total energy is -32.91 eV for the cell shown. As for the density: 13.45 g/cm³.

Unit cell a=4.514 b=4.514 c=4.514 alpha=90.00 beta=90.00 gamma=90.00
Fractional positions:
1 Re 0.000 0.500 0.000
2 Re 0.000 0.000 0.500
3 Re 0.500 0.000 0.000
4 Br 0.000 0.000 0.000
5 Pd 0.500 0.500 0.500


Look up the density of the tenth one.
4.24 g/cm³